# 1
Computed, not measured: a geometry-optimized LiNi2Se structure at the PBE level of DFT.

a = 4.471 Å, b = 4.471 Å, c = 4.471 Å
α = 131.90°, β = 131.26°, γ = 70.89°
Site moments in Bohr magnetons follow the coordinates.
Positions (direct):
Li  0.250  0.750  0.500  -0.01
Ni  0.997  0.997  0.000  0.39
Ni  0.503  0.503  0.000  0.39
Se  0.750  0.250  0.500  0.06

Properties
Calculated total energy = -17.70 eV for the cell shown
Raw formation energy = -0.7 eV/f.u.
D(E_F) = 0.66 states/eV/atom
Calculated density = 6.89 g/cm³



# 2
Computed, not measured: a geometry-optimized Pr2SmCd2 structure at the PBE level of DFT.

a = 3.829 Å, b = 5.510 Å, c = 14.401 Å
α = 90.00°, β = 97.65°, γ = 90.00°
Positions (direct):
Pr  0.045  0.750  0.088
Pr  0.955  0.250  0.912
Pr  0.234  0.750  0.469
Pr  0.766  0.250  0.531
Sm  0.851  0.750  0.704
Sm  0.149  0.250  0.296
Cd  0.639  0.750  0.278
Cd  0.361  0.250  0.722
Cd  0.444  0.750  0.890
Cd  0.556  0.250  0.110

Properties
Calculated total energy = -34.73 eV for the cell shown
D(E_F) = 1.23 states/eV/atom
Formation energy from the elements = -251 meV/atom
Calculated density = 7.25 g/cm³